## 1
# PBE Sb4As, optimized geometry
# M_tot   0.00 μB per formula unit
# N(E_F)   7.94 states/eV/cell
data_Sb4As
_chemical_formula_sum 'Sb4 As1'
_symmetry_space_group_name_H-M 'P m -3 m'
_symmetry_Int_Tables_number 221
_symmetry_space_group_name_Hall '-P 4 2 3'
_cell_length_a 5.374
_cell_length_b 5.374
_cell_length_c 5.374
_cell_angle_alpha 90.00
_cell_angle_beta 90.00
_cell_angle_gamma 90.00
loop_
_atom_site_label
_atom_site_fract_x
_atom_site_fract_y
_atom_site_fract_z
Sb1 0.000 0.000 0.000
Sb2 0.000 0.500 0.500
As1 0.500 0.500 0.500

## 2
# PBE Sb4As, optimized geometry
# M_tot   0.00 μB per formula unit
# N(E_F)   4.19 states/eV/cell
data_Sb4As
_chemical_formula_sum 'Sb8 As2'
_symmetry_space_group_name_H-M 'I m -3 m'
_symmetry_Int_Tables_number 229
_symmetry_space_group_name_Hall '-I 4 2 3'
_cell_length_a 6.709
_cell_length_b 6.709
_cell_length_c 6.709
_cell_angle_alpha 90.00
_cell_angle_beta 90.00
_cell_angle_gamma 90.00
loop_
_atom_site_label
_atom_site_fract_x
_atom_site_fract_y
_atom_site_fract_z
Sb1 0.250 0.250 0.250
As1 0.000 0.000 0.000

## 3
# PBE Sb4As, optimized geometry
# M_tot   0.00 μB per formula unit
# N(E_F)   6.60 states/eV/cell
data_Sb4As
_chemical_formula_sum 'Sb8 As2'
_symmetry_space_group_name_H-M 'I 4/m m m'
_symmetry_Int_Tables_number 139
_symmetry_space_group_name_Hall '-I 4 2'
_cell_length_a 5.868
_cell_length_b 5.868
_cell_length_c 8.704
_cell_angle_alpha 90.00
_cell_angle_beta 90.00
_cell_angle_gamma 90.00
loop_
_atom_site_label
_atom_site_fract_x
_atom_site_fract_y
_atom_site_fract_z
Sb1 0.000 0.000 0.169
Sb2 0.000 0.500 0.250
As1 0.000 0.000 0.500

## 4
# PBE Sb4As, optimized geometry
# M_tot   0.00 μB per formula unit
# N(E_F)   4.65 states/eV/cell
data_Sb4As
_chemical_formula_sum 'Sb8 As2'
_symmetry_space_group_name_H-M 'I 4/m m m'
_symmetry_Int_Tables_number 139
_symmetry_space_group_name_Hall '-I 4 2'
_cell_length_a 8.321
_cell_length_b 8.321
_cell_length_c 3.908
_cell_angle_alpha 90.00
_cell_angle_beta 90.00
_cell_angle_gamma 90.00
loop_
_atom_site_label
_atom_site_fract_x
_atom_site_fract_y
_atom_site_fract_z
Sb1 0.000 0.284 0.000
As1 0.000 0.000 0.500

Looking at the structures above, which would you pick as the most stable? I would pick 4.